A plane-wave DFT calculation with PBE was carried out for a relaxed KTlAs crystal.

Computed properties:
Volume ... 34.12 Å³ per atom
Energy above the most stable polymorph in this dataset ... 39 meV/atom
D(E_F) ... 0.13 states/eV/f.u.
Spin magnetization ... 0.00 μB/cell
ΔE_f ... -218 meV/atom

```
data_KTlAs
_chemical_formula_sum 'K4 Tl4 As4'
_cell_length_a 8.044
_cell_length_b 6.174
_cell_length_c 8.274
_cell_angle_alpha 90.00
_cell_angle_beta 94.92
_cell_angle_gamma 90.00
_symmetry_space_group_name_H-M 'P 1 21/c 1'
_symmetry_Int_Tables_number 14
loop_
_symmetry_equiv_pos_as_xyz
'x,y,z'
'-x,-y,-z'
'-x,y+1/2,-z+1/2'
'x,-y+1/2,z+1/2'
loop_
_atom_site_label
_atom_site_type_symbol
_atom_site_fract_x
_atom_site_fract_y
_atom_site_fract_z
K1 K 0.149 0.045 0.221
Tl1 Tl 0.460 0.712 0.074
As1 As 0.283 0.534 0.335
```

A plane-wave DFT calculation with PBE was carried out for a relaxed KYTlAs2 crystal.

Computed properties:
Volume ... 37.69 Å³ per atom
D(E_F) ... 3.77 states/eV/f.u.
Spin magnetization ... 0.00 μB/cell
ΔE_f ... 93 meV/atom

```
data_KYTlAs2
_chemical_formula_sum 'K1 Y1 Tl1 As2'
_cell_length_a 5.460
_cell_length_b 5.460
_cell_length_c 6.321
_cell_angle_alpha 90.00
_cell_angle_beta 90.00
_cell_angle_gamma 90.00
_symmetry_space_group_name_H-M 'P 4/m m m'
_symmetry_Int_Tables_number 123
_symmetry_space_group_name_Hall '-P 4 2'
loop_
_atom_site_label
_atom_site_type_symbol
_atom_site_fract_x
_atom_site_fract_y
_atom_site_fract_z
K1 K 0.000 0.000 0.000
Y1 Y 0.000 0.000 0.500
Tl1 Tl 0.500 0.500 0.000
As1 As 0.000 0.500 0.500
```

A plane-wave DFT calculation with PBE was carried out for a relaxed KUAs crystal.

Computed properties:
Volume ... 28.29 Å³ per atom
D(E_F) ... 3.82 states/eV/f.u.
Spin magnetization ... 9.96 μB/cell
ΔE_f ... -311 meV/atom

```
data_KUAs
_chemical_formula_sum 'K4 U4 As4'
_cell_length_a 4.293
_cell_length_b 4.293
_cell_length_c 18.420
_cell_angle_alpha 90.00
_cell_angle_beta 90.00
_cell_angle_gamma 90.00
_symmetry_space_group_name_H-M 'I 4/m m m'
_symmetry_Int_Tables_number 139
_symmetry_space_group_name_Hall '-I 4 2'
loop_
_atom_site_label
_atom_site_type_symbol
_atom_site_fract_x
_atom_site_fract_y
_atom_site_fract_z
K1 K 0.000 0.000 0.184
U1 U 0.000 0.500 0.000
As1 As 0.000 0.000 0.389
```

A plane-wave DFT calculation with PBE was carried out for a relaxed K2VAs2 crystal.

Computed properties:
Volume ... 29.45 Å³ per atom
Energy above the most stable polymorph in this dataset ... 1037 meV/atom
D(E_F) ... 3.53 states/eV/f.u.
Spin magnetization ... 5.80 μB/cell
ΔE_f ... 856 meV/atom

```
data_K2VAs2
_chemical_formula_sum 'K4 V2 As4'
_cell_length_a 5.605
_cell_length_b 5.605
_cell_length_c 9.373
_cell_angle_alpha 90.00
_cell_angle_beta 90.00
_cell_angle_gamma 90.00
_symmetry_space_group_name_H-M 'I 4/m m m'
_symmetry_Int_Tables_number 139
_symmetry_space_group_name_Hall '-I 4 2'
loop_
_atom_site_label
_atom_site_type_symbol
_atom_site_fract_x
_atom_site_fract_y
_atom_site_fract_z
K1 K 0.000 0.000 0.143
V1 V 0.000 0.000 0.500
As1 As 0.000 0.500 0.250
```

A plane-wave DFT calculation with PBE was carried out for a relaxed K2V2As crystal.

Computed properties:
Volume ... 29.47 Å³ per atom
Energy above the most stable polymorph in this dataset ... 884 meV/atom
D(E_F) ... 7.33 states/eV/f.u.
Spin magnetization ... 14.90 μB/cell
ΔE_f ... 1428 meV/atom

```
data_K2V2As
_chemical_formula_sum 'K4 V4 As2'
_cell_length_a 7.646
_cell_length_b 7.646
_cell_length_c 5.041
_cell_angle_alpha 90.00
_cell_angle_beta 90.00
_cell_angle_gamma 90.00
_symmetry_space_group_name_H-M 'P 4/m b m'
_symmetry_Int_Tables_number 127
_symmetry_space_group_name_Hall '-P 4 2ab'
loop_
_atom_site_label
_atom_site_type_symbol
_atom_site_fract_x
_atom_site_fract_y
_atom_site_fract_z
K1 K 0.129 0.371 0.000
V1 V 0.196 0.696 0.500
As1 As 0.000 0.000 0.000
```

A plane-wave DFT calculation with PBE was carried out for a relaxed K2VAs2 crystal.

Computed properties:
Volume ... 26.78 Å³ per atom
Energy above the most stable polymorph in this dataset ... 764 meV/atom
D(E_F) ... 6.34 states/eV/f.u.
Spin magnetization ... 6.16 μB/cell
ΔE_f ... 582 meV/atom

```
data_K2VAs2
_chemical_formula_sum 'K4 V2 As4'
_cell_length_a 9.490
_cell_length_b 9.490
_cell_length_c 2.973
_cell_angle_alpha 90.00
_cell_angle_beta 90.00
_cell_angle_gamma 90.00
_symmetry_space_group_name_H-M 'P 4/m b m'
_symmetry_Int_Tables_number 127
_symmetry_space_group_name_Hall '-P 4 2ab'
loop_
_atom_site_label
_atom_site_type_symbol
_atom_site_fract_x
_atom_site_fract_y
_atom_site_fract_z
K1 K 0.116 0.384 0.000
V1 V 0.000 0.000 0.000
As1 As 0.184 0.684 0.500
```

A plane-wave DFT calculation with PBE was carried out for a relaxed K3VAs crystal.

Computed properties:
Volume ... 51.98 Å³ per atom
Energy above the most stable polymorph in this dataset ... 0 meV/atom
D(E_F) ... 15.90 states/eV/f.u.
Spin magnetization ... 4.64 μB/cell
ΔE_f ... 722 meV/atom

```
data_K3VAs
_chemical_formula_sum 'K3 V1 As1'
_cell_length_a 6.382
_cell_length_b 6.382
_cell_length_c 6.382
_cell_angle_alpha 90.00
_cell_angle_beta 90.00
_cell_angle_gamma 90.00
_symmetry_space_group_name_H-M 'P m -3 m'
_symmetry_Int_Tables_number 221
_symmetry_space_group_name_Hall '-P 4 2 3'
loop_
_atom_site_label
_atom_site_type_symbol
_atom_site_fract_x
_atom_site_fract_y
_atom_site_fract_z
K1 K 0.000 0.000 0.500
V1 V 0.500 0.500 0.500
As1 As 0.000 0.000 0.000
```

A plane-wave DFT calculation with PBE was carried out for a relaxed KV2As crystal.

Computed properties:
Volume ... 23.43 Å³ per atom
D(E_F) ... 3.98 states/eV/f.u.
Spin magnetization ... 0.00 μB/cell
ΔE_f ... 674 meV/atom

```
data_KV2As
_chemical_formula_sum 'K4 V8 As4'
_cell_length_a 4.528
_cell_length_b 4.528
_cell_length_c 18.285
_cell_angle_alpha 90.00
_cell_angle_beta 90.00
_cell_angle_gamma 90.00
_symmetry_space_group_name_H-M 'I -4 2 d'
_symmetry_Int_Tables_number 122
_symmetry_space_group_name_Hall 'I -4 2bw'
loop_
_atom_site_label
_atom_site_type_symbol
_atom_site_fract_x
_atom_site_fract_y
_atom_site_fract_z
K1 K 0.000 0.000 0.000
V1 V 0.009 0.250 0.625
As1 As 0.000 0.000 0.500
```

A plane-wave DFT calculation with PBE was carried out for a relaxed K2VAs2 crystal.

Computed properties:
Volume ... 25.41 Å³ per atom
Energy above the most stable polymorph in this dataset ... 0 meV/atom
D(E_F) ... 1.39 states/eV/f.u.
Spin magnetization ... 5.93 μB/cell
ΔE_f ... -181 meV/atom

```
data_K2VAs2
_chemical_formula_sum 'K4 V2 As4'
_cell_length_a 6.766
_cell_length_b 6.766
_cell_length_c 5.550
_cell_angle_alpha 90.00
_cell_angle_beta 90.00
_cell_angle_gamma 90.00
_symmetry_space_group_name_H-M 'P 4/m b m'
_symmetry_Int_Tables_number 127
_symmetry_space_group_name_Hall '-P 4 2ab'
loop_
_atom_site_label
_atom_site_type_symbol
_atom_site_fract_x
_atom_site_fract_y
_atom_site_fract_z
K1 K 0.171 0.329 0.000
V1 V 0.000 0.000 0.500
As1 As 0.136 0.636 0.500
```

A plane-wave DFT calculation with PBE was carried out for a relaxed K2V2As crystal.

Computed properties:
Volume ... 25.53 Å³ per atom
Energy above the most stable polymorph in this dataset ... 0 meV/atom
D(E_F) ... 4.08 states/eV/f.u.
Spin magnetization ... 0.00 μB/cell
ΔE_f ... 544 meV/atom

```
data_K2V2As
_chemical_formula_sum 'K4 V4 As2'
_cell_length_a 3.295
_cell_length_b 3.295
_cell_length_c 23.517
_cell_angle_alpha 90.00
_cell_angle_beta 90.00
_cell_angle_gamma 90.00
_symmetry_space_group_name_H-M 'I 4/m m m'
_symmetry_Int_Tables_number 139
_symmetry_space_group_name_Hall '-I 4 2'
loop_
_atom_site_label
_atom_site_type_symbol
_atom_site_fract_x
_atom_site_fract_y
_atom_site_fract_z
K1 K 0.000 0.000 0.103
V1 V 0.000 0.500 0.250
As1 As 0.000 0.000 0.500
```

A plane-wave DFT calculation with PBE was carried out for a relaxed KVAs crystal.

Computed properties:
Volume ... 28.17 Å³ per atom
Energy above the most stable polymorph in this dataset ... 0 meV/atom
D(E_F) ... 1.83 states/eV/f.u.
Spin magnetization ... 0.98 μB/cell
ΔE_f ... -350 meV/atom

```
data_KVAs
_chemical_formula_sum 'K2 V2 As2'
_cell_length_a 3.924
_cell_length_b 3.924
_cell_length_c 10.976
_cell_angle_alpha 90.00
_cell_angle_beta 90.00
_cell_angle_gamma 90.00
_symmetry_space_group_name_H-M 'P 4/n m m'
_symmetry_Int_Tables_number 129
loop_
_symmetry_equiv_pos_as_xyz
'x,y,z'
'-x,-y,-z'
'-y+1/2,x,z'
'y+1/2,-x,-z'
'-x+1/2,-y+1/2,z'
'x+1/2,y+1/2,-z'
'y,-x+1/2,z'
'-y,x+1/2,-z'
'x+1/2,-y,-z'
'-x+1/2,y,z'
'-y,-x,-z'
'y,x,z'
'-x,y+1/2,-z'
'x,-y+1/2,z'
'y+1/2,x+1/2,-z'
'-y+1/2,-x+1/2,z'
loop_
_atom_site_label
_atom_site_type_symbol
_atom_site_fract_x
_atom_site_fract_y
_atom_site_fract_z
K1 K 0.250 0.250 0.197
V1 V 0.250 0.750 0.500
As1 As 0.250 0.250 0.643
```

A plane-wave DFT calculation with PBE was carried out for a relaxed KVAs crystal.

Computed properties:
Volume ... 29.01 Å³ per atom
Energy above the most stable polymorph in this dataset ... 497 meV/atom
D(E_F) ... 1.81 states/eV/f.u.
Spin magnetization ... 0.00 μB/cell
ΔE_f ... 148 meV/atom

```
data_KVAs
_chemical_formula_sum 'K8 V8 As8'
_cell_length_a 6.076
_cell_length_b 6.532
_cell_length_c 17.542
_cell_angle_alpha 90.00
_cell_angle_beta 90.00
_cell_angle_gamma 90.00
_symmetry_space_group_name_H-M 'F m m m'
_symmetry_Int_Tables_number 69
_symmetry_space_group_name_Hall '-F 2 2'
loop_
_atom_site_label
_atom_site_type_symbol
_atom_site_fract_x
_atom_site_fract_y
_atom_site_fract_z
K1 K 0.000 0.000 0.172
V1 V 0.000 0.163 0.500
As1 As 0.000 0.000 0.377
```

A plane-wave DFT calculation with PBE was carried out for a relaxed K2AsW crystal.

Computed properties:
Volume ... 31.26 Å³ per atom
D(E_F) ... 2.65 states/eV/f.u.
Spin magnetization ... 0.00 μB/cell
ΔE_f ... 471 meV/atom

```
data_K2AsW
_chemical_formula_sum 'K2 As1 W1'
_cell_length_a 3.474
_cell_length_b 3.475
_cell_length_c 10.356
_cell_angle_alpha 90.00
_cell_angle_beta 90.45
_cell_angle_gamma 90.00
_symmetry_space_group_name_H-M 'P 1 m 1'
_symmetry_Int_Tables_number 6
loop_
_symmetry_equiv_pos_as_xyz
'x,y,z'
'x,-y,z'
loop_
_atom_site_label
_atom_site_type_symbol
_atom_site_fract_x
_atom_site_fract_y
_atom_site_fract_z
K1 K 0.000 0.000 0.000
K2 K 0.483 0.500 0.414
As1 As 0.993 0.000 0.671
W1 W 0.494 0.500 0.740
```

A plane-wave DFT calculation with PBE was carried out for a relaxed KAsW3 crystal.

Computed properties:
Volume ... 21.79 Å³ per atom
D(E_F) ... 8.12 states/eV/f.u.
Spin magnetization ... 0.00 μB/cell
ΔE_f ... 1954 meV/atom

```
data_KAsW3
_chemical_formula_sum 'K1 As1 W3'
_cell_length_a 4.776
_cell_length_b 4.776
_cell_length_c 4.776
_cell_angle_alpha 90.00
_cell_angle_beta 90.00
_cell_angle_gamma 90.00
_symmetry_space_group_name_H-M 'P m -3 m'
_symmetry_Int_Tables_number 221
_symmetry_space_group_name_Hall '-P 4 2 3'
loop_
_atom_site_label
_atom_site_type_symbol
_atom_site_fract_x
_atom_site_fract_y
_atom_site_fract_z
K1 K 0.000 0.000 0.000
As1 As 0.500 0.500 0.500
W1 W 0.000 0.500 0.500
```